Computed, not measured: crystalline ThAlGa2 at its relaxed geometry at the PBE-GGA level of DFT.

Computed properties:
DOS at the Fermi energy: 0.4798 states/eV/atom
DFT total energy: -4.72 eV per atom
DFT formation energy: -1.65 eV/f.u.
spin magnetization: 0.00 μB per formula unit

Cell lengths 4.446, 4.446, 4.378 Å; angles 90.00, 90.00, 90.00 degrees
Fractional coordinates of all 4 atoms:
Th1 0.000 0.000 0.000
Al1 0.500 0.500 0.000
Ga1 0.000 0.500 0.500
Ga2 0.500 0.000 0.500